(w)
# GGA-PBE RbSbPtI2, optimized geometry
data_RbSbPtI2
_symmetry_space_group_name_H-M 'P 1'
_symmetry_Int_Tables_number 1
_symmetry_space_group_name_Hall 'P 1'
_cell_length_a 6.6904
_cell_length_b 6.6904
_cell_length_c 7.2114
_cell_angle_alpha 90.00
_cell_angle_beta 90.00
_cell_angle_gamma 90.00
loop_
_atom_site_label
_atom_site_type_symbol
_atom_site_fract_x
_atom_site_fract_y
_atom_site_fract_z
I1 I 0.0000 0.5000 0.0000
I2 I 0.5000 0.0000 0.0000
Sb1 Sb 0.0000 0.0000 0.5000
Rb1 Rb 0.0000 0.0000 0.0000
Pt1 Pt 0.5000 0.5000 0.5000
# * N(E_F): 8.00 states/eV per cell
# * total magnetization: 2.90 μB per formula unit

(x)
# GGA-PBE RbSbPtI2, optimized geometry
data_RbSbPtI2
_symmetry_space_group_name_H-M 'P 1'
_symmetry_Int_Tables_number 1
_symmetry_space_group_name_Hall 'P 1'
_cell_length_a 5.9862
_cell_length_b 5.9862
_cell_length_c 5.0854
_cell_angle_alpha 90.00
_cell_angle_beta 90.00
_cell_angle_gamma 90.00
loop_
_atom_site_label
_atom_site_type_symbol
_atom_site_fract_x
_atom_site_fract_y
_atom_site_fract_z
I1 I 0.0000 0.5000 0.0000
I2 I 0.5000 0.0000 0.0000
Sb1 Sb 0.0000 0.0000 0.5000
Rb1 Rb 0.5000 0.5000 0.5000
Pt1 Pt 0.0000 0.0000 0.0000
# * N(E_F): 2.91 states/eV per cell
# * total magnetization: 0.28 μB per formula unit

Which structure is most stable? (x), by 149.8 kJ/mol of atoms over the runner-up.

(w)
# GGA-PBE RbSb2PtI, optimized geometry
data_RbSb2PtI
_symmetry_space_group_name_H-M 'P 1'
_symmetry_Int_Tables_number 1
_symmetry_space_group_name_Hall 'P 1'
_cell_length_a 6.1210
_cell_length_b 6.1210
_cell_length_c 6.1146
_cell_angle_alpha 90.00
_cell_angle_beta 90.00
_cell_angle_gamma 90.00
loop_
_atom_site_label
_atom_site_type_symbol
_atom_site_fract_x
_atom_site_fract_y
_atom_site_fract_z
I1 I 0.0000 0.0000 0.5000
Sb1 Sb 0.0000 0.5000 0.0000
Sb2 Sb 0.5000 0.0000 0.0000
Rb1 Rb 0.0000 0.0000 0.0000
Pt1 Pt 0.5000 0.5000 0.5000
# * N(E_F): 10.82 states/eV per cell
# * total magnetization: 0.03 μB per formula unit

(x)
# GGA-PBE RbSb2PtI, optimized geometry
data_RbSb2PtI
_symmetry_space_group_name_H-M 'P 1'
_symmetry_Int_Tables_number 1
_symmetry_space_group_name_Hall 'P 1'
_cell_length_a 5.0929
_cell_length_b 5.0929
_cell_length_c 10.4701
_cell_angle_alpha 90.00
_cell_angle_beta 90.00
_cell_angle_gamma 90.00
loop_
_atom_site_label
_atom_site_type_symbol
_atom_site_fract_x
_atom_site_fract_y
_atom_site_fract_z
I1 I 0.0000 0.0000 0.5000
Sb1 Sb 0.0000 0.5000 0.0000
Sb2 Sb 0.5000 0.0000 0.0000
Rb1 Rb 0.5000 0.5000 0.5000
Pt1 Pt 0.0000 0.0000 0.0000
# * N(E_F): 0.95 states/eV per cell
# * total magnetization: 0.00 μB per formula unit

Which structure is most stable? (x), by 183.7 kJ/mol of atoms over the runner-up.

(w)
# GGA-PBE Rb2TlPtI6, optimized geometry
data_Rb2TlPtI6
_symmetry_space_group_name_H-M 'P 1'
_symmetry_Int_Tables_number 1
_symmetry_space_group_name_Hall 'P 1'
_cell_length_a 8.4698
_cell_length_b 8.4698
_cell_length_c 8.4836
_cell_angle_alpha 60.05
_cell_angle_beta 60.05
_cell_angle_gamma 90.00
loop_
_atom_site_label
_atom_site_type_symbol
_atom_site_fract_x
_atom_site_fract_y
_atom_site_fract_z
I1 I 0.2692 0.2692 0.4616
I2 I 0.7308 0.7308 0.5384
I3 I 0.2696 0.2696 0.0000
I4 I 0.7304 0.7304 0.0000
I5 I 0.7304 0.2696 0.0000
I6 I 0.2696 0.7304 0.0000
Tl1 Tl 0.0000 0.0000 0.0000
Rb1 Rb 0.7500 0.2500 0.5000
Rb2 Rb 0.2500 0.7500 0.5000
Pt1 Pt 0.5000 0.5000 0.0000
# * N(E_F): 6.21 states/eV per cell
# * total magnetization: 0.00 μB per formula unit

(x)
# GGA-PBE Rb2TlPtI6, optimized geometry
data_Rb2TlPtI6
_symmetry_space_group_name_H-M 'P 1'
_symmetry_Int_Tables_number 1
_symmetry_space_group_name_Hall 'P 1'
_cell_length_a 8.0955
_cell_length_b 8.0955
_cell_length_c 17.0011
_cell_angle_alpha 76.23
_cell_angle_beta 76.23
_cell_angle_gamma 60.00
loop_
_atom_site_label
_atom_site_type_symbol
_atom_site_fract_x
_atom_site_fract_y
_atom_site_fract_z
Rb1 Rb 0.8621 0.8621 0.4136
Rb2 Rb 0.1379 0.1379 0.5864
Rb3 Rb 0.6927 0.6927 0.9219
Rb4 Rb 0.3073 0.3073 0.0781
Tl1 Tl 0.5824 0.5824 0.2527
Tl2 Tl 0.4176 0.4176 0.7473
Pt1 Pt 0.0000 0.0000 0.0000
Pt2 Pt 0.5000 0.5000 0.5000
I1 I 0.8612 0.3684 0.4019
I2 I 0.3684 0.8612 0.4019
I3 I 0.3684 0.3684 0.4019
I4 I 0.1388 0.6316 0.5981
I5 I 0.6316 0.1388 0.5981
I6 I 0.6316 0.6316 0.5981
I7 I 0.7133 0.1927 0.9014
I8 I 0.1927 0.7133 0.9014
I9 I 0.1927 0.1927 0.9014
I10 I 0.2867 0.8073 0.0986
I11 I 0.8073 0.2867 0.0986
I12 I 0.8073 0.8073 0.0986
# * N(E_F): 10.09 states/eV per cell
# * total magnetization: 0.32 μB per formula unit

Which structure is most stable? (w), by 0.7 kJ/mol of atoms over the runner-up.

(w)
# GGA-PBE RePtI3, optimized geometry
data_RePtI3
_symmetry_space_group_name_H-M 'P 1'
_symmetry_Int_Tables_number 1
_symmetry_space_group_name_Hall 'P 1'
_cell_length_a 5.3662
_cell_length_b 5.3662
_cell_length_c 5.3662
_cell_angle_alpha 90.00
_cell_angle_beta 90.00
_cell_angle_gamma 90.00
loop_
_atom_site_label
_atom_site_type_symbol
_atom_site_fract_x
_atom_site_fract_y
_atom_site_fract_z
I1 I 0.0000 0.5000 0.0000
I2 I 0.0000 0.0000 0.5000
I3 I 0.5000 0.0000 0.0000
Re1 Re 0.0000 0.0000 0.0000
Pt1 Pt 0.5000 0.5000 0.5000
# * N(E_F): 7.30 states/eV per cell
# * total magnetization: 1.35 μB per formula unit

(x)
# GGA-PBE RePtI3, optimized geometry
data_RePtI3
_symmetry_space_group_name_H-M 'P 1'
_symmetry_Int_Tables_number 1
_symmetry_space_group_name_Hall 'P 1'
_cell_length_a 5.5126
_cell_length_b 5.5126
_cell_length_c 5.5126
_cell_angle_alpha 90.00
_cell_angle_beta 90.00
_cell_angle_gamma 90.00
loop_
_atom_site_label
_atom_site_type_symbol
_atom_site_fract_x
_atom_site_fract_y
_atom_site_fract_z
I1 I 0.0000 0.5000 0.0000
I2 I 0.0000 0.0000 0.5000
I3 I 0.5000 0.0000 0.0000
Re1 Re 0.5000 0.5000 0.5000
Pt1 Pt 0.0000 0.0000 0.0000
# * N(E_F): 2.44 states/eV per cell
# * total magnetization: 5.88 μB per formula unit

Which structure is most stable? (x), by 8.3 kJ/mol of atoms over the runner-up.

(w)
# GGA-PBE RePt2I2, optimized geometry
data_RePt2I2
_symmetry_space_group_name_H-M 'P 1'
_symmetry_Int_Tables_number 1
_symmetry_space_group_name_Hall 'P 1'
_cell_length_a 7.0369
_cell_length_b 7.0369
_cell_length_c 4.4849
_cell_angle_alpha 90.00
_cell_angle_beta 90.00
_cell_angle_gamma 90.00
loop_
_atom_site_label
_atom_site_type_symbol
_atom_site_fract_x
_atom_site_fract_y
_atom_site_fract_z
I1 I 0.1905 0.6905 0.5000
I2 I 0.6905 0.8095 0.5000
I3 I 0.8095 0.3095 0.5000
I4 I 0.3095 0.1905 0.5000
Re1 Re 0.0000 0.0000 0.0000
Re2 Re 0.5000 0.5000 0.0000
Pt1 Pt 0.3606 0.8606 0.0000
Pt2 Pt 0.8606 0.6394 0.0000
Pt3 Pt 0.6394 0.1394 0.0000
Pt4 Pt 0.1394 0.3606 0.0000
# * N(E_F): 7.90 states/eV per cell
# * total magnetization: 3.38 μB per formula unit

(x)
# GGA-PBE RePt2I2, optimized geometry
data_RePt2I2
_symmetry_space_group_name_H-M 'P 1'
_symmetry_Int_Tables_number 1
_symmetry_space_group_name_Hall 'P 1'
_cell_length_a 5.5699
_cell_length_b 5.5699
_cell_length_c 5.4709
_cell_angle_alpha 59.40
_cell_angle_beta 59.40
_cell_angle_gamma 90.00
loop_
_atom_site_label
_atom_site_type_symbol
_atom_site_fract_x
_atom_site_fract_y
_atom_site_fract_z
I1 I 0.7500 0.2500 0.5000
I2 I 0.2500 0.7500 0.5000
Re1 Re 0.0000 0.0000 0.0000
Pt1 Pt 0.3228 0.3228 0.3544
Pt2 Pt 0.6772 0.6772 0.6456
# * N(E_F): 7.78 states/eV per cell
# * total magnetization: 0.00 μB per formula unit

Which structure is most stable? (w), by 26.2 kJ/mol of atoms over the runner-up.

(w)
# GGA-PBE Re2PtI, optimized geometry
data_Re2PtI
_symmetry_space_group_name_H-M 'P 1'
_symmetry_Int_Tables_number 1
_symmetry_space_group_name_Hall 'P 1'
_cell_length_a 4.5546
_cell_length_b 4.5546
_cell_length_c 4.5546
_cell_angle_alpha 60.00
_cell_angle_beta 60.00
_cell_angle_gamma 60.00
loop_
_atom_site_label
_atom_site_type_symbol
_atom_site_fract_x
_atom_site_fract_y
_atom_site_fract_z
I1 I 0.0000 0.0000 0.0000
Re1 Re 0.2500 0.2500 0.2500
Re2 Re 0.7500 0.7500 0.7500
Pt1 Pt 0.5000 0.5000 0.5000
# * N(E_F): 4.12 states/eV per cell
# * total magnetization: 0.00 μB per formula unit

(x)
# GGA-PBE Re2PtI, optimized geometry
data_Re2PtI
_symmetry_space_group_name_H-M 'P 1'
_symmetry_Int_Tables_number 1
_symmetry_space_group_name_Hall 'P 1'
_cell_length_a 5.7778
_cell_length_b 5.7778
_cell_length_c 7.1561
_cell_angle_alpha 66.19
_cell_angle_beta 66.19
_cell_angle_gamma 90.00
loop_
_atom_site_label
_atom_site_type_symbol
_atom_site_fract_x
_atom_site_fract_y
_atom_site_fract_z
I1 I 0.5000 0.5000 0.0000
I2 I 0.2500 0.7500 0.5000
Re1 Re 0.6476 0.1250 0.2500
Re2 Re 0.1024 0.6250 0.2500
Re3 Re 0.3750 0.3524 0.7500
Re4 Re 0.8750 0.8976 0.7500
Pt1 Pt 0.0000 0.0000 0.0000
Pt2 Pt 0.7500 0.2500 0.5000
# * N(E_F): 10.15 states/eV per cell
# * total magnetization: 0.00 μB per formula unit

Which structure is most stable? (w), by 51.5 kJ/mol of atoms over the runner-up.